A plane-wave DFT calculation with PBE-GGA was carried out for a geometry-optimized RbLi2Bi2O6 structure.

Unit cell a=6.0322 b=6.2034 c=6.5618 alpha=115.13 beta=90.89 gamma=118.59
Fractional positions:
1 Rb 0.0000 0.0000 0.0000
2 Li 0.3075 0.7033 0.4534
3 Li 0.6925 0.2967 0.5466
4 Bi 0.3268 0.6536 0.9758
5 Bi 0.6732 0.3464 0.0242
6 O 0.0813 0.7001 0.2260
7 O 0.3586 0.8798 0.7823
8 O 0.4595 0.5409 0.2121
9 O 0.5405 0.4591 0.7879
10 O 0.6414 0.1202 0.2177
11 O 0.9187 0.2999 0.7740

- Space group: P-1, No. 2
- Total DFT energy (no corrections): -5.08 eV per atom
- Density of states at the Fermi level: 2.0 states/eV/f.u.